No. 1
LaCr2AgRu | PBE-GGA | relaxed

Cell and atoms, written as extended XYZ:
```
5
Lattice="4.913 0.000 0.000 0.000 4.913 0.000 0.000 0.000 4.710" Properties=species:S:1:pos:R:3 pbc="T T T"
La 0.000 0.000 0.000
Cr 0.000 2.457 0.000
Cr 2.457 0.000 0.000
Ag 2.457 2.457 2.355
Ru 0.000 0.000 2.355
```

SG: P4/mmm, No. 123
Fermi-level density of states (states/eV/cell): 3.57

No. 2
SrLaCr2Ag | PBE-GGA | relaxed

Cell and atoms, written as extended XYZ:
```
5
Lattice="4.589 0.000 0.000 0.000 4.589 0.000 0.000 0.000 5.835" Properties=species:S:1:pos:R:3 pbc="T T T"
Sr 0.000 0.000 0.000
La 0.000 0.000 2.918
Cr 0.000 2.295 2.918
Cr 2.295 0.000 2.918
Ag 2.295 2.295 0.000
```

SG: P4/mmm, No. 123
Fermi-level density of states (states/eV/cell): 10.31

No. 3
LaTlCrAg2 | PBE-GGA | relaxed

Cell and atoms, written as extended XYZ:
```
5
Lattice="5.729 0.000 0.000 0.000 5.729 0.000 0.000 0.000 5.138" Properties=species:S:1:pos:R:3 pbc="T T T"
La 0.000 0.000 0.000
Tl 2.865 2.865 2.569
Cr 0.000 0.000 2.569
Ag 0.000 2.865 0.000
Ag 2.865 0.000 0.000
```

SG: P4/mmm, No. 123
Fermi-level density of states (states/eV/cell): 3.76

no.,calculated total energy (eV for the cell shown)
1,-27.51
2,-20.43
3,-16.93